# 1
A plane-wave DFT calculation with PBE was carried out for a geometry-optimized KP2SCl structure.

Total energy = -14.0 eV for the cell shown
Density = 2.31 g/cm3
Magnetic moment = 1.4 μB per cell
E_form (uncorrected) = 0.7872 eV/atom
Fermi-level density of states = 2.8 states/eV/f.u.
E above lowest polymorph = 3.78 eV/f.u.

a b c (Å): 4.8625 4.8625 5.1153
angles (deg): 90.00 90.00 90.00
Site moments in Bohr magnetons follow the coordinates.
Atoms (fractional coordinates):
P  0.5000  0.0000  0.0000  0.25
P  0.0000  0.5000  0.0000  0.25
Cl  0.0000  0.0000  0.0000  0.02
S  0.0000  0.0000  0.5000  0.12
K  0.5000  0.5000  0.5000  0.01

---

# 2
A plane-wave DFT calculation with PBE was carried out for a geometry-optimized KP2SCl structure.

Total energy = -17.7 eV for the cell shown
Density = 1.76 g/cm3
Magnetic moment = 0.0 μB per cell
E_form (uncorrected) = 0.0310 eV/atom
Fermi-level density of states = 2.0 states/eV/f.u.
E above lowest polymorph = 0.00 eV/f.u.

a b c (Å): 4.4709 4.4709 7.9389
angles (deg): 90.00 90.00 90.00
Atoms (fractional coordinates):
Cl  0.0000  0.0000  0.5000
P  0.5000  0.0000  0.0000
P  0.0000  0.5000  0.0000
S  0.0000  0.0000  0.0000
K  0.5000  0.5000  0.5000

---

# 3
A plane-wave DFT calculation with PBE was carried out for a geometry-optimized KP2SCl structure.

Total energy = -9.8 eV for the cell shown
Density = 1.13 g/cm3
Magnetic moment = 6.1 μB per cell
E_form (uncorrected) = 1.6094 eV/atom
Fermi-level density of states = 15.1 states/eV/f.u.
E above lowest polymorph = 7.89 eV/f.u.

a b c (Å): 6.5143 6.5143 5.8451
angles (deg): 90.00 90.00 90.00
Site moments in Bohr magnetons follow the coordinates.
Atoms (fractional coordinates):
Cl  0.5000  0.5000  0.5000  0.41
P  0.5000  0.0000  0.0000  1.16
P  0.0000  0.5000  0.0000  1.16
K  0.0000  0.0000  0.0000  0.03
S  0.0000  0.0000  0.5000  0.01

---

# 4
A plane-wave DFT calculation with PBE was carried out for a geometry-optimized KSbP2Cl structure.

Total energy = -12.2 eV for the cell shown
Density = 2.18 g/cm3
Magnetic moment = 3.0 μB per cell
E_form (uncorrected) = 1.1457 eV/atom
Fermi-level density of states = 0.7 states/eV/f.u.
E above lowest polymorph = 5.32 eV/f.u.

a b c (Å): 6.0598 6.0598 5.3578
angles (deg): 90.00 90.00 90.00
Site moments in Bohr magnetons follow the coordinates.
Atoms (fractional coordinates):
Cl  0.0000  0.0000  0.5000  0.06
P  0.5000  0.0000  0.0000  1.02
P  0.0000  0.5000  0.0000  1.02
Sb  0.5000  0.5000  0.5000  -0.74
K  0.0000  0.0000  0.0000  0.06

---

# 5
A plane-wave DFT calculation with PBE was carried out for a geometry-optimized KSbP2Cl structure.

Total energy = -17.5 eV for the cell shown
Density = 2.81 g/cm3
Magnetic moment = 0.9 μB per cell
E_form (uncorrected) = 0.0825 eV/atom
Fermi-level density of states = 4.2 states/eV/f.u.
E above lowest polymorph = 0.00 eV/f.u.

a b c (Å): 5.0980 5.0980 5.8620
angles (deg): 90.00 90.00 90.00
Site moments in Bohr magnetons follow the coordinates.
Atoms (fractional coordinates):
P  0.0000  0.5000  0.0000  0.19
P  0.5000  0.0000  0.0000  0.19
K  0.5000  0.5000  0.5000  0.00
Cl  0.0000  0.0000  0.5000  0.02
Sb  0.0000  0.0000  0.0000  0.00

---

# 6
A plane-wave DFT calculation with PBE was carried out for a geometry-optimized KScPCl2 structure.

Total energy = -22.9 eV for the cell shown
Density = 2.27 g/cm3
Magnetic moment = 1.0 μB per cell
E_form (uncorrected) = -1.2712 eV/atom
Fermi-level density of states = 3.6 states/eV/f.u.
E above lowest polymorph = 0.00 eV/f.u.

a b c (Å): 5.1378 5.1378 5.1480
angles (deg): 90.00 90.00 90.00
Site moments in Bohr magnetons follow the coordinates.
Atoms (fractional coordinates):
P  0.0000  0.0000  0.5000  0.36
Cl  0.5000  0.0000  0.0000  0.04
Cl  0.0000  0.5000  0.0000  0.04
K  0.5000  0.5000  0.5000  0.01
Sc  0.0000  0.0000  0.0000  -0.02

---

# 7
A plane-wave DFT calculation with PBE was carried out for a geometry-optimized KScPCl2 structure.

Total energy = -16.0 eV for the cell shown
Density = 2.05 g/cm3
Magnetic moment = 0.0 μB per cell
E_form (uncorrected) = 0.1066 eV/atom
Fermi-level density of states = 1.5 states/eV/f.u.
E above lowest polymorph = 6.89 eV/f.u.

a b c (Å): 5.2063 5.2063 5.5535
angles (deg): 90.00 90.00 90.00
Atoms (fractional coordinates):
P  0.0000  0.0000  0.5000
Cl  0.0000  0.5000  0.0000
Cl  0.5000  0.0000  0.0000
Sc  0.5000  0.5000  0.5000
K  0.0000  0.0000  0.0000

---

# 8
A plane-wave DFT calculation with PBE was carried out for a geometry-optimized KP2SeCl structure.

Total energy = -11.0 eV for the cell shown
Density = 1.40 g/cm3
Magnetic moment = 4.0 μB per cell
E_form (uncorrected) = 1.2525 eV/atom
Fermi-level density of states = 2.8 states/eV/f.u.
E above lowest polymorph = 5.70 eV/f.u.

a b c (Å): 6.7337 6.7337 5.6256
angles (deg): 90.00 90.00 90.00
Site moments in Bohr magnetons follow the coordinates.
Atoms (fractional coordinates):
P  0.5000  0.0000  0.0000  1.17
P  0.0000  0.5000  0.0000  1.17
Cl  0.0000  0.0000  0.5000  0.06
Se  0.5000  0.5000  0.5000  -0.98
K  0.0000  0.0000  0.0000  0.03